(1)
# MnCI2N

A geometry-optimized MnCI2N structure (PBE-GGA, the Alexandria database).

a = 7.1281 Å, b = 7.1281 Å, c = 2.6733 Å
α = 90.00°, β = 90.00°, γ = 90.00°
Last column: nearest neighbours and their distance in Å.
Space group P4/mmm (No. 123)
One atom of each set of equivalent atoms:
Mn 0.0000 0.0000 0.0000  2 Mn 2.67
C 0.5000 0.5000 0.5000  2 N 1.34
I 0.0000 0.5000 0.5000  2 I 2.67
N 0.5000 0.5000 0.0000  2 C 1.34

energy above the most stable polymorph in this dataset	0	meV/atom
DOS at the Fermi energy	5.12	states/eV per cell
electronic total energy	-23.8	eV per cell

---

(2)
# GePN

A geometry-optimized GePN structure (PBE-GGA, the Alexandria database).

a = 2.8873 Å, b = 2.9189 Å, c = 5.9828 Å
α = 89.82°, β = 76.68°, γ = 89.76°
Last column: nearest neighbours and their distance in Å.
Space group P1 (No. 1)
One atom of each set of equivalent atoms:
Ge 0.0000 0.0000 0.0000  2 N 1.93
P 0.7653 0.4974 0.4967  1 N 1.63
N 0.8980 0.4991 0.2170  1 P 1.63

energy above the most stable polymorph in this dataset	229	meV/atom
DOS at the Fermi energy	1.28	states/eV per cell
electronic total energy	-17.4	eV per cell

---

(3)
# SrIrW

A geometry-optimized SrIrW structure (PBE-GGA, the Alexandria database).

a = 2.9759 Å, b = 3.8540 Å, c = 11.7979 Å
α = 90.00°, β = 90.00°, γ = 90.00°
Last column: nearest neighbours and their distance in Å.
Space group Imm2 (No. 44)
One atom of each set of equivalent atoms:
Sr 0.0000 0.0000 0.0000  2 Sr 2.98, 1 W 3.32
Ir 0.0000 0.0000 0.7073  4 W 2.59
W 0.0000 0.0000 0.2812  4 Ir 2.59

energy above the most stable polymorph in this dataset	61	meV/atom
DOS at the Fermi energy	4.80	states/eV per cell
electronic total energy	-44.9	eV per cell
energy of formation	0.3509	eV per atom

---

(4)
# NaFeAg3

A geometry-optimized NaFeAg3 structure (PBE-GGA, the Alexandria database).

a = 4.9711 Å, b = 4.9711 Å, c = 4.9711 Å
α = 90.00°, β = 90.00°, γ = 90.00°
Last column: nearest neighbours and their distance in Å.
Space group Pm-3m (No. 221)
One atom of each set of equivalent atoms:
Na 0.0000 0.0000 0.0000  12 Ag 3.52
Fe 0.5000 0.5000 0.5000  6 Ag 2.49
Ag 0.0000 0.5000 0.5000  2 Fe 2.49

energy above the most stable polymorph in this dataset	0	meV/atom
DOS at the Fermi energy	2.58	states/eV per cell
electronic total energy	-15.2	eV per cell
energy of formation	0.6208	eV per atom

---

(5)
# Tl2SnAsS4

A geometry-optimized Tl2SnAsS4 structure (PBE-GGA, the Alexandria database).

a = 7.9467 Å, b = 8.4120 Å, c = 11.6022 Å
α = 90.00°, β = 90.00°, γ = 90.00°
Last column: nearest neighbours and their distance in Å.
Space group Imma (No. 74)
One atom of each set of equivalent atoms:
Tl 0.0000 0.0000 0.0000  6 S 3.01-3.03
Tl 0.2500 0.2500 0.2500  6 S 3.13-3.14
Sn 0.0000 0.0000 0.5000  6 S 2.80-2.81
As 0.2500 0.2500 0.7500  6 S 2.66-2.68
S 0.0000 0.0395 0.7403  2 As 2.66, 1 Sn 2.81
S 0.2309 0.2500 0.5192  1 As 2.68, 2 Sn 2.80

DOS at the Fermi energy	11.03	states/eV per cell
electronic total energy	-126.9	eV per cell

---

(6)
# Be2VB

A geometry-optimized Be2VB structure (PBE-GGA, the Alexandria database).

a = 3.1872 Å, b = 3.1872 Å, c = 3.3398 Å
α = 90.00°, β = 90.00°, γ = 90.00°
Last column: nearest neighbours and their distance in Å.
Space group P4/mmm (No. 123)
One atom of each set of equivalent atoms:
Be 0.0000 0.5000 0.0000  4 Be 2.25, 4 B 2.31, 4 V 2.31
V 0.0000 0.0000 0.5000  4 B 2.25, 8 Be 2.31
B 0.5000 0.5000 0.5000  4 V 2.25, 8 Be 2.31

DOS at the Fermi energy	1.09	states/eV per cell
electronic total energy	-24.2	eV per cell
energy of formation	-0.2288	eV per atom

---

(7)
# Sc2CuOs

A geometry-optimized Sc2CuOs structure (PBE-GGA, the Alexandria database).

a = 3.9455 Å, b = 3.9455 Å, c = 8.6858 Å
α = 90.00°, β = 90.00°, γ = 90.00°
Last column: nearest neighbours and their distance in Å.
Space group I-4m2 (No. 119)
One atom of each set of equivalent atoms:
Sc 0.0000 0.0000 0.0000  4 Os 2.79, 4 Cu 2.93, 4 Sc 2.93
Sc 0.0000 0.5000 0.2500  4 Cu 2.79, 4 Sc 2.93, 4 Os 2.93
Cu 0.0000 0.5000 0.7500  8 Sc 2.79-2.93, 4 Os 2.93
Os 0.0000 0.0000 0.5000  8 Sc 2.79-2.93, 4 Cu 2.93

energy above the most stable polymorph in this dataset	253	meV/atom
DOS at the Fermi energy	6.10	states/eV per cell
electronic total energy	-57.2	eV per cell
energy of formation	-0.1565	eV per atom

---

(8)
# HoRe2SiC

A geometry-optimized HoRe2SiC structure (PBE-GGA, the Alexandria database).

a = 3.9333 Å, b = 10.8884 Å, c = 7.3151 Å
α = 90.00°, β = 90.00°, γ = 90.00°
Last column: nearest neighbours and their distance in Å.
Space group Cmcm (No. 63)
One atom of each set of equivalent atoms:
Ho 0.0000 0.0421 0.2500  4 C 2.72, 1 Si 3.02
Re 0.0000 0.3259 0.0605  1 C 1.95
Si 0.0000 0.2353 0.7500  6 Re 2.48-2.50
C 0.0000 0.5000 0.0000  2 Re 1.95

DOS at the Fermi energy	8.58	states/eV per cell
electronic total energy	-185.6	eV per cell